Crystalline LaZr3Be at its relaxed geometry, computed with PBE-GGA.

Calculated values
The value obtained for the raw total energy is -6.534 eV per atom. For the calculated formation energy, the calculation gives 0.33 eV per atom.

abc: 4.9323 4.9323 4.9323
angles: 90.00 90.00 90.00
Fractional positions:
La (0.0000, 0.0000, 0.0000)
Zr (0.0000, 0.5000, 0.5000)
Zr (0.5000, 0.0000, 0.5000)
Zr (0.5000, 0.5000, 0.0000)
Be (0.5000, 0.5000, 0.5000)

Crystalline Tb3Pr4YTe8 at its relaxed geometry, computed with PBE-GGA.

Calculated values
The value obtained for the raw total energy is -5.414 eV per atom. Its raw formation energy is -1.38 eV/atom.

abc: 9.0011 9.0011 9.0011
angles: 58.63 58.63 58.63
Fractional positions:
Tb (0.0000, 0.5000, 0.5000)
Tb (0.5000, 0.0000, 0.5000)
Tb (0.5000, 0.5000, 0.0000)
Pr (0.0000, 0.0000, 0.5000)
Pr (0.0000, 0.5000, 0.0000)
Pr (0.5000, 0.0000, 0.0000)
Pr (0.5000, 0.5000, 0.5000)
Y (0.0000, 0.0000, 0.0000)
Te (0.2452, 0.2452, 0.7458)
Te (0.2452, 0.7458, 0.2452)
Te (0.2542, 0.7548, 0.7548)
Te (0.2545, 0.2545, 0.2545)
Te (0.7455, 0.7455, 0.7455)
Te (0.7458, 0.2452, 0.2452)
Te (0.7548, 0.2542, 0.7548)
Te (0.7548, 0.7548, 0.2542)

Crystalline ZrTi2Bi at its relaxed geometry, computed with PBE-GGA.

Calculated values
The value obtained for the raw total energy is -6.632 eV per atom. For the calculated formation energy, the calculation gives 0.42 eV per atom.

abc: 7.8451 7.8451 5.8386
angles: 90.00 90.00 90.00
Fractional positions:
Zr (0.0000, 0.0000, 0.0000)
Zr (0.0000, 0.5000, 0.2500)
Zr (0.5000, 0.0000, 0.7500)
Zr (0.5000, 0.5000, 0.5000)
Ti (0.2426, 0.2500, 0.6250)
Ti (0.2500, 0.7426, 0.8750)
Ti (0.2500, 0.7574, 0.3750)
Ti (0.2574, 0.2500, 0.1250)
Ti (0.7426, 0.7500, 0.1250)
Ti (0.7500, 0.2426, 0.3750)
Ti (0.7500, 0.2574, 0.8750)
Ti (0.7574, 0.7500, 0.6250)
Bi (0.0000, 0.0000, 0.5000)
Bi (0.0000, 0.5000, 0.7500)
Bi (0.5000, 0.0000, 0.2500)
Bi (0.5000, 0.5000, 0.0000)